# 1
Material: Ba3CaPu2O9
Method: DFT, PBE
State: optimized geometry

Computed properties:
DFT total energy: -8.310 eV/atom
DOS(E_F): 0.65 states/eV/atom
Size of the total moment: 6.000 μB per formula unit

a = 6.1816 Å, b = 6.1816 Å, c = 7.5954 Å
α = 90.00°, β = 90.00°, γ = 120.00°
Closest atoms and distances in Å follow each position.
Fractional positions:
Ba1 0.3333 0.6667 0.6501  12 O 3.00-3.20
Ba2 0.0000 0.0000 0.0000  12 O 3.09
Ba3 0.6667 0.3333 0.3499  12 O 3.00-3.20
Ca1 0.0000 0.0000 0.5000  6 O 2.30
Pu1 0.3333 0.6667 0.1646  6 O 2.08-2.18
Pu2 0.6667 0.3333 0.8354  6 O 2.08-2.18
O1 0.8253 0.1747 0.6762  1 Pu 2.08, 1 Ca 2.30
O2 0.8253 0.6506 0.6762  1 Pu 2.08, 1 Ca 2.30
O3 0.3494 0.1747 0.6762  1 Pu 2.08, 1 Ca 2.30
O4 0.6506 0.8253 0.3238  1 Pu 2.08, 1 Ca 2.30
O5 0.1747 0.3494 0.3238  1 Pu 2.08, 1 Ca 2.30
O6 0.1747 0.8253 0.3238  1 Pu 2.08, 1 Ca 2.30
O7 0.5000 0.0000 0.0000  2 Pu 2.18
O8 0.0000 0.5000 0.0000  2 Pu 2.18
O9 0.5000 0.5000 0.0000  2 Pu 2.18

=====

# 2
Material: KTiB2N
Method: DFT, PBE
State: optimized geometry

Computed properties:
DFT total energy: -2.294 eV/atom
DOS(E_F): 1.19 states/eV/atom
Size of the total moment: 0.564 μB per formula unit

a = 4.3270 Å, b = 4.7296 Å, c = 4.3270 Å
α = 90.00°, β = 90.00°, γ = 90.00°
Closest atoms and distances in Å follow each position.
Fractional positions:
K1 0.0000 0.0000 0.0000  4 B 2.16, 2 Ti 2.36
N1 0.5000 0.5000 0.5000  4 Ti 3.06, 8 B 3.21
B1 0.0000 0.0000 0.5000  2 K 2.16
B2 0.5000 0.0000 0.0000  2 K 2.16
Ti1 0.0000 0.5000 0.0000  2 K 2.36

=====

# 3
Material: FeAsIr
Method: DFT, PBE
State: optimized geometry

Computed properties:
DFT total energy: -7.172 eV/atom
DOS(E_F): 0.85 states/eV/atom
Energy relative to the elements: 0.153 eV per atom
Size of the total moment: 2.692 μB per formula unit

a = 2.8480 Å, b = 2.8480 Å, c = 6.1080 Å
α = 90.00°, β = 90.00°, γ = 120.00°
Closest atoms and distances in Å follow each position.
Fractional positions:
As1 0.0000 0.0000 0.0080  3 Fe 2.57, 3 Ir 2.68, 6 As 2.85
Fe1 0.6667 0.3333 0.3306  3 As 2.57, 3 Ir 2.61, 6 Fe 2.85
Ir1 0.3333 0.6667 0.6614  3 Fe 2.61, 3 As 2.68, 6 Ir 2.85

=====

# 4
Material: TmPa2Co9
Method: DFT, PBE
State: optimized geometry

Computed properties:
DFT total energy: -7.544 eV/atom
DOS(E_F): 1.27 states/eV/atom
Energy relative to the elements: -0.260 eV per atom
Size of the total moment: 6.625 μB per formula unit

a = 4.8581 Å, b = 4.8581 Å, c = 8.6621 Å
α = 73.71°, β = 73.71°, γ = 60.00°
Closest atoms and distances in Å follow each position.
Fractional positions:
Tm1 0.0000 0.0000 0.0000  6 Co 2.80
Pa1 0.8619 0.8619 0.4143  12 Co 2.80-3.13, 3 Pa 3.14
Pa2 0.1381 0.1381 0.5857  12 Co 2.80-3.13, 3 Pa 3.14
Co1 0.6673 0.6673 0.9981  6 Co 2.43-2.45
Co2 0.3327 0.3327 0.0019  6 Co 2.43-2.45
Co3 0.5000 0.5000 0.5000  6 Co 2.52
Co4 0.4191 0.4191 0.2440  7 Co 2.42-2.52
Co5 0.9177 0.4191 0.2440  7 Co 2.42-2.52
Co6 0.4191 0.9177 0.2440  7 Co 2.42-2.52
Co7 0.5809 0.5809 0.7560  7 Co 2.42-2.52
Co8 0.5809 0.0823 0.7560  7 Co 2.42-2.52
Co9 0.0823 0.5809 0.7560  7 Co 2.42-2.52

=====

# 5
Material: ZrGaF2
Method: DFT, PBE
State: optimized geometry

Computed properties:
DFT total energy: -5.575 eV/atom
DOS(E_F): 0.60 states/eV/atom
Size of the total moment: 0.000 μB per formula unit

a = 8.7892 Å, b = 8.7892 Å, c = 8.7892 Å
α = 21.11°, β = 21.11°, γ = 21.11°
Closest atoms and distances in Å follow each position.
Fractional positions:
Ga1 0.5000 0.5000 0.5000  6 F 2.95, 6 Ga 3.22
Zr1 0.0000 0.0000 0.0000  2 F 2.01
F1 0.9221 0.9221 0.9221  1 Zr 2.01
F2 0.0779 0.0779 0.0779  1 Zr 2.01

=====

# 6
Material: Zn2CdRe
Method: DFT, PBE
State: optimized geometry

Computed properties:
DFT total energy: -3.657 eV/atom
DOS(E_F): 0.63 states/eV/atom
Energy relative to the elements: 0.321 eV per atom
Size of the total moment: 0.000 μB per formula unit

a = 4.3850 Å, b = 2.7345 Å, c = 5.4609 Å
α = 75.48°, β = 90.00°, γ = 90.00°
Closest atoms and distances in Å follow each position.
Fractional positions:
Cd1 0.0000 0.4459 0.4821  5 Zn 2.61-2.85, 2 Cd 2.73
Re1 0.5000 0.7928 0.7896  2 Re 2.73, 7 Zn 2.76-2.84, 4 Cd 3.05
Zn1 0.0000 0.2004 0.9754  1 Cd 2.61, 4 Zn 2.64-2.73, 4 Re 2.76-2.77
Zn2 0.5000 0.0609 0.2529  4 Zn 2.64-2.73, 3 Re 2.80-2.84, 4 Cd 2.85

=====

# 7
Material: RbPa3Ag4O12
Method: DFT, PBE
State: optimized geometry

Computed properties:
DFT total energy: -6.897 eV/atom
DOS(E_F): 0.98 states/eV/atom
Size of the total moment: 0.000 μB per formula unit

a = 7.5186 Å, b = 7.5186 Å, c = 7.5186 Å
α = 105.18°, β = 105.18°, γ = 105.18°
Closest atoms and distances in Å follow each position.
Fractional positions:
Rb1 0.0000 0.0000 0.0000  6 O 3.04
Pa1 0.5690 0.4310 0.0000  6 O 2.08-2.26
Pa2 0.4310 0.0000 0.5690  6 O 2.08-2.26
Pa3 0.0000 0.5690 0.4310  6 O 2.08-2.26
Ag1 0.9114 0.0886 0.5000  3 O 2.05-2.27
Ag2 0.0886 0.5000 0.9114  3 O 2.05-2.27
Ag3 0.5000 0.9114 0.0886  3 O 2.05-2.27
Ag4 0.5000 0.5000 0.5000  3 O 2.14
O1 0.5000 0.3206 0.6794  1 Ag 2.14, 2 Pa 2.20
O2 0.8988 0.5000 0.1012  2 Pa 2.26, 1 Ag 2.27
O3 0.1012 0.8988 0.5000  2 Pa 2.26, 1 Ag 2.27
O4 0.5000 0.1012 0.8988  2 Pa 2.26, 1 Ag 2.27
O5 0.3771 0.0140 0.2878  1 Ag 2.05, 1 Pa 2.08
O6 0.2878 0.3771 0.0140  1 Ag 2.05, 1 Pa 2.08
O7 0.0140 0.2878 0.3771  1 Ag 2.05, 1 Pa 2.08
O8 0.6229 0.7122 0.9860  1 Ag 2.05, 1 Pa 2.08
O9 0.9860 0.6229 0.7122  1 Ag 2.05, 1 Pa 2.08
O10 0.7122 0.9860 0.6229  1 Ag 2.05, 1 Pa 2.08
O11 0.6794 0.5000 0.3206  1 Ag 2.14, 2 Pa 2.20
O12 0.3206 0.6794 0.5000  1 Ag 2.14, 2 Pa 2.20

=====

# 8
Material: LaIn2Re
Method: DFT, PBE
State: optimized geometry

Computed properties:
DFT total energy: -5.487 eV/atom
DOS(E_F): 0.60 states/eV/atom
Energy relative to the elements: 0.226 eV per atom
Size of the total moment: 0.000 μB per formula unit

a = 6.0928 Å, b = 6.0928 Å, c = 6.0928 Å
α = 146.14°, β = 129.72°, γ = 62.00°
Closest atoms and distances in Å follow each position.
Fractional positions:
In1 0.0363 0.0363 0.0000  2 Re 2.85
In2 0.4637 0.4637 0.0000  2 Re 2.85
La1 0.7500 0.2500 0.5000  4 Re 3.14, 8 In 3.42-3.48
Re1 0.2500 0.7500 0.5000  4 In 2.85, 4 La 3.14

=====

# 9
Material: Ce2Sn2O7
Method: DFT, PBE
State: optimized geometry

Computed properties:
DFT total energy: -7.448 eV/atom
DOS(E_F): 1.27 states/eV/atom
Size of the total moment: 1.899 μB per formula unit

a = 7.5951 Å, b = 7.5951 Å, c = 7.5951 Å
α = 60.00°, β = 60.00°, γ = 60.00°
Closest atoms and distances in Å follow each position.
Fractional positions:
Ce1 0.6250 0.6250 0.6250  8 O 2.33-2.59
Ce2 0.6250 0.6250 0.1250  8 O 2.33-2.59
Ce3 0.6250 0.1250 0.6250  8 O 2.33-2.59
Ce4 0.1250 0.6250 0.6250  8 O 2.33-2.59
Sn1 0.6250 0.1250 0.1250  6 O 2.11
Sn2 0.1250 0.6250 0.1250  6 O 2.11
Sn3 0.1250 0.1250 0.6250  6 O 2.11
Sn4 0.1250 0.1250 0.1250  6 O 2.11
O1 0.2106 0.2106 0.7894  2 Sn 2.11
O2 0.2106 0.7894 0.2106  2 Sn 2.11
O3 0.4606 0.0394 0.4606  2 Sn 2.11
O4 0.4606 0.4606 0.0394  2 Sn 2.11
O5 0.7500 0.7500 0.7500  4 Ce 2.33
O6 0.7894 0.2106 0.2106  2 Sn 2.11
O7 0.4606 0.0394 0.0394  2 Sn 2.11
O8 0.0394 0.4606 0.4606  2 Sn 2.11
O9 0.0394 0.0394 0.4606  2 Sn 2.11
O10 0.0394 0.4606 0.0394  2 Sn 2.11
O11 0.2106 0.7894 0.7894  2 Sn 2.11
O12 0.5000 0.5000 0.5000  4 Ce 2.33
O13 0.7894 0.2106 0.7894  2 Sn 2.11
O14 0.7894 0.7894 0.2106  2 Sn 2.11

=====

# 10
Material: ZrBi3Cl
Method: DFT, PBE
State: optimized geometry

Computed properties:
DFT total energy: -4.343 eV/atom
DOS(E_F): 0.41 states/eV/atom
Size of the total moment: 0.000 μB per formula unit

a = 5.6432 Å, b = 5.6432 Å, c = 5.6432 Å
α = 90.00°, β = 90.00°, γ = 90.00°
Closest atoms and distances in Å follow each position.
Fractional positions:
Bi1 0.0000 0.5000 0.0000  2 Zr 2.82
Bi2 0.0000 0.0000 0.5000  2 Zr 2.82
Bi3 0.5000 0.0000 0.0000  2 Zr 2.82
Zr1 0.0000 0.0000 0.0000  6 Bi 2.82
Cl1 0.5000 0.5000 0.5000  12 Bi 3.99

=====

# 11
Material: KGaC
Method: DFT, PBE
State: optimized geometry

Computed properties:
DFT total energy: -4.064 eV/atom
DOS(E_F): 0.02 states/eV/atom
Energy relative to the elements: 0.385 eV per atom
Size of the total moment: 0.000 μB per formula unit

a = 6.2368 Å, b = 3.4595 Å, c = 5.4714 Å
α = 90.00°, β = 90.00°, γ = 90.00°
Closest atoms and distances in Å follow each position.
Fractional positions:
K1 0.5000 0.5000 0.5000  6 K 3.46-3.57, 8 Ga 3.47, 4 C 3.65
K2 0.0000 0.0000 0.5000  8 C 3.31, 4 Ga 3.31, 6 K 3.46-3.57
C1 0.1121 0.5000 0.0000  1 C 1.40
C2 0.8879 0.5000 0.0000  1 C 1.40
Ga1 0.7005 0.0000 0.0000  2 C 2.09
Ga2 0.2995 0.0000 0.0000  2 C 2.09

=====

# 12
Material: AcLuBi
Method: DFT, PBE
State: optimized geometry

Computed properties:
DFT total energy: -4.494 eV/atom
DOS(E_F): 1.46 states/eV/atom
Energy relative to the elements: -0.324 eV per atom
Size of the total moment: 0.000 μB per formula unit

a = 4.3744 Å, b = 5.3177 Å, c = 5.3177 Å
α = 120.00°, β = 90.00°, γ = 90.00°
Closest atoms and distances in Å follow each position.
Fractional positions:
Ac1 0.6669 0.3333 0.6667  6 Bi 3.77, 6 Lu 3.77
Lu1 0.1674 0.6667 0.3333  3 Bi 3.07
Bi1 0.1657 0.0000 0.0000  3 Lu 3.07

=====

# 13
Material: Y2RuPbCl
Method: DFT, PBE
State: optimized geometry

Computed properties:
DFT total energy: -5.915 eV/atom
DOS(E_F): 0.65 states/eV/atom
Size of the total moment: 0.315 μB per formula unit

a = 5.4052 Å, b = 5.1598 Å, c = 5.4052 Å
α = 90.00°, β = 90.00°, γ = 90.00°
Closest atoms and distances in Å follow each position.
Fractional positions:
Pb1 0.0000 0.5000 0.0000  2 Ru 2.58
Ru1 0.0000 0.0000 0.0000  2 Pb 2.58, 4 Y 2.70
Y1 0.0000 0.0000 0.5000  2 Ru 2.70
Y2 0.5000 0.0000 0.0000  2 Ru 2.70
Cl1 0.5000 0.5000 0.5000  8 Y 3.74, 4 Pb 3.82

=====

# 14
Material: MgTiWCl2
Method: DFT, PBE
State: optimized geometry

Computed properties:
DFT total energy: -4.369 eV/atom
DOS(E_F): 1.11 states/eV/atom
Size of the total moment: 1.854 μB per formula unit

a = 4.4061 Å, b = 9.8653 Å, c = 4.4061 Å
α = 90.00°, β = 90.00°, γ = 90.00°
Closest atoms and distances in Å follow each position.
Fractional positions:
Mg1 0.0000 0.0000 0.0000  4 Cl 2.20
Cl1 0.0000 0.0000 0.5000  2 Mg 2.20
Cl2 0.5000 0.0000 0.0000  2 Mg 2.20
W1 0.5000 0.5000 0.5000  4 Ti 3.12
Ti1 0.0000 0.5000 0.0000  4 W 3.12

=====

# 15
Material: K2ZrAl
Method: DFT, PBE
State: optimized geometry

Computed properties:
DFT total energy: -2.964 eV/atom
DOS(E_F): 0.76 states/eV/atom
Energy relative to the elements: 0.657 eV per atom
Size of the total moment: 1.385 μB per formula unit

a = 3.7282 Å, b = 5.0115 Å, c = 6.3445 Å
α = 90.00°, β = 90.00°, γ = 90.00°
Closest atoms and distances in Å follow each position.
Fractional positions:
K1 0.0000 0.0000 0.0000  4 K 3.12
K2 0.5000 0.5000 0.0000  4 K 3.12
Al1 0.0000 0.5000 0.5000  4 Zr 3.12
Zr1 0.5000 0.0000 0.5000  4 Al 3.12

=====

# 16
Material: CeMgZnPb
Method: DFT, PBE
State: optimized geometry

Computed properties:
DFT total energy: -3.340 eV/atom
DOS(E_F): 1.75 states/eV/atom
Energy relative to the elements: -0.212 eV per atom
Size of the total moment: 0.753 μB per formula unit

a = 5.1802 Å, b = 5.1802 Å, c = 5.1802 Å
α = 60.00°, β = 60.00°, γ = 60.00°
Closest atoms and distances in Å follow each position.
Fractional positions:
Pb1 0.5000 0.5000 0.5000  4 Ce 3.17, 4 Mg 3.17
Zn1 0.0000 0.0000 0.0000  4 Ce 3.17, 4 Mg 3.17
Mg1 0.2500 0.2500 0.2500  4 Pb 3.17, 4 Zn 3.17
Ce1 0.7500 0.7500 0.7500  4 Pb 3.17, 4 Zn 3.17

=====

# 17
Material: ScAl2Ag
Method: DFT, PBE
State: optimized geometry

Computed properties:
DFT total energy: -4.313 eV/atom
DOS(E_F): 0.71 states/eV/atom
Energy relative to the elements: -0.146 eV per atom
Size of the total moment: 0.000 μB per formula unit

a = 2.8737 Å, b = 4.1412 Å, c = 6.1462 Å
α = 90.00°, β = 90.00°, γ = 90.00°
Closest atoms and distances in Å follow each position.
Fractional positions:
Sc1 0.5000 0.5000 0.2500  2 Sc 2.87, 8 Al 2.98, 2 Ag 3.07
Al1 0.0000 0.0000 0.9927  4 Al 2.87-3.16, 4 Ag 2.93, 4 Sc 2.98
Al2 0.0000 0.0000 0.5073  4 Al 2.87-3.16, 4 Ag 2.93, 4 Sc 2.98
Ag1 0.5000 0.5000 0.7500  2 Ag 2.87, 8 Al 2.93, 2 Sc 3.07

=====

# 18
Material: Cd3SnO
Method: DFT, PBE
State: optimized geometry

Computed properties:
DFT total energy: -1.684 eV/atom
DOS(E_F): 3.23 states/eV/atom
Size of the total moment: 0.000 μB per formula unit

a = 5.4726 Å, b = 5.4726 Å, c = 5.4726 Å
α = 90.00°, β = 90.00°, γ = 90.00°
Closest atoms and distances in Å follow each position.
Fractional positions:
Sn1 0.0000 0.0000 0.0000  6 Cd 2.74
O1 0.5000 0.5000 0.5000  12 Cd 3.87
Cd1 0.0000 0.5000 0.0000  2 Sn 2.74
Cd2 0.0000 0.0000 0.5000  2 Sn 2.74
Cd3 0.5000 0.0000 0.0000  2 Sn 2.74

=====

# 19
Material: InGe3Mo
Method: DFT, PBE
State: optimized geometry

Computed properties:
DFT total energy: -5.205 eV/atom
DOS(E_F): 0.59 states/eV/atom
Energy relative to the elements: 0.279 eV per atom
Size of the total moment: 0.000 μB per formula unit

a = 4.9444 Å, b = 4.9444 Å, c = 4.9444 Å
α = 90.00°, β = 90.00°, γ = 90.00°
Closest atoms and distances in Å follow each position.
Fractional positions:
Mo1 0.0000 0.0000 0.0000  6 Ge 2.47
Ge1 0.0000 0.5000 0.0000  2 Mo 2.47
Ge2 0.0000 0.0000 0.5000  2 Mo 2.47
Ge3 0.5000 0.0000 0.0000  2 Mo 2.47
In1 0.5000 0.5000 0.5000  12 Ge 3.50

=====

# 20
Material: MgTeMo
Method: DFT, PBE
State: optimized geometry

Computed properties:
DFT total energy: -4.696 eV/atom
DOS(E_F): 0.59 states/eV/atom
Size of the total moment: 0.000 μB per formula unit

a = 4.5438 Å, b = 4.5438 Å, c = 4.5438 Å
α = 60.00°, β = 60.00°, γ = 60.00°
Closest atoms and distances in Å follow each position.
Fractional positions:
Mg1 0.5000 0.5000 0.5000  4 Mo 2.78
Mo1 0.7500 0.7500 0.7500  4 Mg 2.78, 4 Te 2.78
Te1 0.0000 0.0000 0.0000  4 Mo 2.78